*A*
# SbPt4Rh

An optimized crystal structure of SbPt4Rh (PBE, Alexandria via LeMat-Bulk).

Summary:
crystal system = orthorhombic
spin magnetization = 0.00 μB per cell
space group = Imma, No. 74

The structure in extended XYZ format:
```
12
Lattice="6.164 1.014 -2.911 -2.478 5.734 -2.911 -1.549 -2.836 7.695" Properties=species:S:1:pos:R:3 pbc="T T T"
Sb 2.436 2.130 -0.988
Sb -0.299 1.782 2.860
Pt 0.064 2.826 0.264
Pt 4.988 1.355 -2.282
Pt 0.568 3.749 -2.239
Pt 4.468 0.401 0.307
Pt -2.331 3.511 1.565
Pt 1.569 0.164 4.112
Pt -2.852 2.558 4.155
Pt 2.072 1.086 1.609
Rh 3.901 -0.512 2.860
Rh -1.765 4.424 -0.988
```

---

*B*
# SbPt4Rh

An optimized crystal structure of SbPt4Rh (PBE, Alexandria via LeMat-Bulk).

Summary:
crystal system = cubic
spin magnetization = 0.57 μB per cell
space group = F-43m, No. 216

The structure in extended XYZ format:
```
6
Lattice="-0.464 -3.154 4.245 -4.483 -2.727 0.803 -0.043 -5.274 -0.604" Properties=species:S:1:pos:R:3 pbc="T T T"
Sb 0.000 0.000 0.000
Pt -3.094 -4.341 3.075
Pt -0.886 -5.608 2.375
Pt -3.115 -6.964 2.775
Pt -2.885 -5.396 0.664
Rh -1.247 -2.789 1.111
```

---

What should be chosen as the most stable of them? Choose *A*.

---

*A*
# SbPt2Rh2

An optimized crystal structure of SbPt2Rh2 (PBE, Alexandria via LeMat-Bulk).

Summary:
crystal system = tetragonal
spin magnetization = 0.00 μB per cell
space group = P4/mbm, No. 127

The structure in extended XYZ format:
```
10
Lattice="-3.519 5.072 2.676 -3.550 0.539 -5.690 -2.535 -2.470 1.347" Properties=species:S:1:pos:R:3 pbc="T T T"
Sb 0.000 0.000 0.000
Sb -3.534 2.805 -1.507
Rh -4.322 2.291 -3.931
Rh -5.298 4.708 -1.339
Rh -2.747 3.320 0.917
Rh -1.771 0.903 -1.676
Pt -4.115 -0.114 -2.629
Pt -6.572 2.528 -2.410
Pt -5.489 3.256 0.962
Pt -3.032 0.614 0.743
```

---

*B*
# SbPt2Rh2

An optimized crystal structure of SbPt2Rh2 (PBE, Alexandria via LeMat-Bulk).

Summary:
crystal system = monoclinic
spin magnetization = 0.00 μB per cell
space group = C2/m, No. 12

The structure in extended XYZ format:
```
5
Lattice="4.131 -0.123 1.485 1.560 3.826 1.485 -0.142 -0.092 4.993" Properties=species:S:1:pos:R:3 pbc="T T T"
Sb 0.780 1.913 0.743
Pt 1.856 2.613 3.455
Pt 3.693 0.998 4.509
Rh 2.670 0.332 1.954
Rh 2.879 3.279 6.010
```

---

What should be chosen as the most stable of them? Choose *B*.

---

*A*
# Sb4PtRh

An optimized crystal structure of Sb4PtRh (PBE, Alexandria via LeMat-Bulk).

Summary:
crystal system = monoclinic
spin magnetization = 0.00 μB per cell
space group = P2_1/c, No. 14

The structure in extended XYZ format:
```
12
Lattice="6.505 0.000 -0.001 0.000 6.512 0.000 0.095 0.000 6.505" Properties=species:S:1:pos:R:3 pbc="T T T"
Sb 5.693 4.060 0.857
Sb 4.160 0.805 5.646
Sb 2.457 2.400 2.459
Sb 0.891 5.656 4.045
Sb 0.908 2.451 5.646
Sb 2.440 5.707 0.858
Sb 4.143 4.112 4.045
Sb 5.709 0.856 2.458
Pt 0.000 0.000 0.000
Pt 3.253 3.256 0.000
Rh 3.300 0.000 3.252
Rh 0.047 3.256 3.252
```

---

*B*
# Sb4PtRh

An optimized crystal structure of Sb4PtRh (PBE, Alexandria via LeMat-Bulk).

Summary:
crystal system = cubic
spin magnetization = 0.00 μB per cell
space group = F-43m, No. 216

The structure in extended XYZ format:
```
6
Lattice="0.000 4.199 4.199 4.199 0.000 4.199 4.199 4.199 0.000" Properties=species:S:1:pos:R:3 pbc="T T T"
Sb 3.150 5.249 5.249
Sb 5.249 5.249 3.150
Sb 5.249 3.150 5.249
Sb 3.150 3.150 3.150
Pt 6.299 6.299 6.299
Rh 0.000 0.000 0.000
```

---

What should be chosen as the most stable of them? Choose *A*.

---

*A*
# ScPtRh3

An optimized crystal structure of ScPtRh3 (PBE, Alexandria via LeMat-Bulk).

Summary:
crystal system = cubic
spin magnetization = 2.06 μB per cell
space group = Pm-3m, No. 221

The structure in extended XYZ format:
```
5
Lattice="4.559 0.000 0.000 0.000 4.559 0.000 0.000 0.000 4.559" Properties=species:S:1:pos:R:3 pbc="T T T"
Sc 0.000 0.000 0.000
Rh 0.000 2.280 0.000
Rh 0.000 0.000 2.280
Rh 2.280 0.000 0.000
Pt 2.280 2.280 2.280
```

---

*B*
# ScPtRh3

An optimized crystal structure of ScPtRh3 (PBE, Alexandria via LeMat-Bulk).

Summary:
crystal system = cubic
spin magnetization = 1.90 μB per cell
space group = Pm-3m, No. 221

The structure in extended XYZ format:
```
5
Lattice="-2.413 -2.384 -3.353 2.148 -4.045 1.330 -3.509 -0.837 3.120" Properties=species:S:1:pos:R:3 pbc="T T T"
Sc -1.887 -3.633 0.549
Rh 1.074 -2.023 0.665
Rh -1.754 -0.419 1.560
Rh -1.207 -1.192 -1.676
Pt 0.000 0.000 0.000
```

---

*C*
# ScPtRh3

An optimized crystal structure of ScPtRh3 (PBE, Alexandria via LeMat-Bulk).

Summary:
crystal system = monoclinic
spin magnetization = 0.00 μB per cell
space group = C2/m, No. 12

The structure in extended XYZ format:
```
10
Lattice="-3.452 1.946 -0.019 0.850 1.457 -5.282 -2.203 -7.924 1.976" Properties=species:S:1:pos:R:3 pbc="T T T"
Sc -2.012 0.436 -3.102
Sc -2.793 -4.958 -0.224
Pt -3.718 -2.572 -1.187
Pt -1.087 -1.949 -2.138
Rh 0.204 0.349 -1.282
Rh -5.009 -4.870 -2.043
Rh -2.424 -4.328 -2.934
Rh -2.381 -0.193 -0.391
Rh -1.498 -2.652 0.470
Rh -3.308 -1.870 -3.795
```

---

What should be chosen as the most stable of them? Choose *C*.

---

*A*
# ScSnPtRh

An optimized crystal structure of ScSnPtRh (PBE, Alexandria via LeMat-Bulk).

Summary:
crystal system = tetragonal
spin magnetization = 0.00 μB per cell
space group = I-4m2, No. 119

The structure in extended XYZ format:
```
4
Lattice="4.242 0.000 0.000 0.000 4.242 0.000 -2.121 -2.121 3.825" Properties=species:S:1:pos:R:3 pbc="T T T"
Sc 0.000 0.000 0.000
Sn 0.000 0.000 3.825
Pt 2.121 0.000 1.912
Rh 0.000 2.121 1.912
```

---

*B*
# ScSnPtRh

An optimized crystal structure of ScSnPtRh (PBE, Alexandria via LeMat-Bulk).

Summary:
crystal system = cubic
spin magnetization = 0.00 μB per cell
space group = F-43m, No. 216

The structure in extended XYZ format:
```
4
Lattice="-0.800 -4.038 2.091 0.917 -3.958 -2.194 3.538 -2.632 1.368" Properties=species:S:1:pos:R:3 pbc="T T T"
Sc 0.914 -2.657 0.316
Rh 0.000 0.000 0.000
Sn 2.741 -7.971 0.949
Pt 1.827 -5.314 0.633
```

---

What should be chosen as the most stable of them? Choose *A*.

---

*A*
# PtRh3Se

An optimized crystal structure of PtRh3Se (PBE, Alexandria via LeMat-Bulk).

Summary:
crystal system = cubic
spin magnetization = 0.00 μB per cell
space group = Pm-3m, No. 221

The structure in extended XYZ format:
```
5
Lattice="4.509 0.000 0.000 0.000 4.509 0.000 0.000 0.000 4.509" Properties=species:S:1:pos:R:3 pbc="T T T"
Rh 0.000 2.255 0.000
Rh 0.000 0.000 2.255
Rh 2.255 0.000 0.000
Se 0.000 0.000 0.000
Pt 2.255 2.255 2.255
```

---

*B*
# PtRh3Se

An optimized crystal structure of PtRh3Se (PBE, Alexandria via LeMat-Bulk).

Summary:
crystal system = cubic
spin magnetization = 3.54 μB per cell
space group = Pm-3m, No. 221

The structure in extended XYZ format:
```
5
Lattice="-3.596 -1.972 2.499 1.387 -4.364 -1.449 2.866 -0.363 3.837" Properties=species:S:1:pos:R:3 pbc="T T T"
Rh 0.693 -2.182 -0.724
Rh 1.433 -0.181 1.918
Rh -1.798 -0.986 1.250
Se 0.328 -3.350 2.444
Pt 0.000 0.000 0.000
```

---

What should be chosen as the most stable of them? Choose *A*.